# 1
DFT (GGA+U) results for crystalline PaVAu2O8 at its relaxed geometry.

Unit cell a=5.909 b=5.909 c=5.909 alpha=111.43 beta=111.43 gamma=105.62
Element x y z (fractional)
Pa  0.000  0.000  0.000
V  0.750  0.250  0.500
Au  0.250  0.750  0.500
Au  0.500  0.500  0.000
O  0.072  0.274  0.798
O  0.333  0.002  0.332
O  0.476  0.274  0.202
O  0.670  0.002  0.668
O  0.726  0.524  0.798
O  0.726  0.928  0.202
O  0.998  0.330  0.332
O  0.998  0.667  0.668

Calculated values
Fermi-level density of states in states/eV/cell: 4.5
V in Å³/cell: 158.29
Total magnetization in μB per formula unit: 0.0
DFT total energy in eV/atom: -6.416

=====

# 2
DFT (GGA+U) results for crystalline PaVAuO6 at its relaxed geometry.

Unit cell a=5.494 b=5.494 c=9.139 alpha=90.00 beta=90.00 gamma=120.00
Element x y z (fractional)
Pa  0.333  0.667  0.250
Pa  0.667  0.333  0.750
V  0.333  0.667  0.750
V  0.667  0.333  0.250
Au  0.000  0.000  0.000
Au  0.000  0.000  0.500
O  0.036  0.380  0.636
O  0.036  0.656  0.864
O  0.344  0.380  0.864
O  0.344  0.964  0.636
O  0.380  0.036  0.136
O  0.380  0.344  0.364
O  0.620  0.656  0.636
O  0.620  0.964  0.864
O  0.656  0.036  0.364
O  0.656  0.620  0.136
O  0.964  0.344  0.136
O  0.964  0.620  0.364

Calculated values
Fermi-level density of states in states/eV/cell: 9.5
V in Å³/cell: 238.88
Total magnetization in μB per formula unit: 0.0
DFT total energy in eV/atom: -7.444

=====

# 3
DFT (GGA+U) results for crystalline PaV2AuO8 at its relaxed geometry.

Unit cell a=5.969 b=5.969 c=6.528 alpha=90.00 beta=90.00 gamma=120.00
Element x y z (fractional)
Pa  0.000  0.000  0.000
V  0.333  0.667  0.710
V  0.667  0.333  0.290
Au  0.000  0.000  0.500
O  0.169  0.338  0.801
O  0.169  0.831  0.801
O  0.333  0.667  0.460
O  0.338  0.169  0.199
O  0.662  0.831  0.801
O  0.667  0.333  0.540
O  0.831  0.169  0.199
O  0.831  0.662  0.199

Calculated values
Fermi-level density of states in states/eV/cell: 0.0
V in Å³/cell: 201.41
Total magnetization in μB per formula unit: 0.0
DFT total energy in eV/atom: -7.595